KSc2Mo: optimized geometry, GGA-PBE.

Cell lengths 7.6726, 7.6726, 7.6726 Å; angles 120.13, 120.13, 89.77 degrees
Positions (direct):
K  0.3750  0.6250  0.7500
K  0.6250  0.3750  0.2500
Sc  0.0000  0.0000  0.0000
Sc  0.0000  0.0000  0.5000
Sc  0.0000  0.5000  0.0000
Sc  0.5000  0.0000  0.5000
Mo  0.1250  0.8750  0.2500
Mo  0.8750  0.1250  0.7500

Properties
The value obtained for the spin magnetization is 0.00 μB/f.u. The energy above the most stable polymorph in this dataset is 273 kJ/mol of formula units.

---

KSc2Mo: optimized geometry, GGA-PBE.

Cell lengths 9.0834, 9.0834, 9.0834 Å; angles 160.32, 150.03, 36.11 degrees
Positions (direct):
K  0.0000  0.0000  0.0000
Sc  0.3184  0.3184  0.0000
Sc  0.6945  0.1945  0.5000
Mo  0.1894  0.6894  0.5000

Properties
The value obtained for the spin magnetization is 0.00 μB/f.u. The energy above the most stable polymorph in this dataset is 130 kJ/mol of formula units.

---

K2ScMo: optimized geometry, GGA-PBE.

Cell lengths 3.0059, 3.0059, 13.0055 Å; angles 90.00, 90.00, 112.53 degrees
Positions (direct):
K  0.0000  0.0000  0.2314
K  0.0000  0.0000  0.7686
Sc  0.5000  0.5000  0.5000
Mo  0.5000  0.5000  0.0000

Properties
The value obtained for the spin magnetization is 0.30 μB/f.u. The energy above the most stable polymorph in this dataset is 179 kJ/mol of formula units.

---

K2ScMo: optimized geometry, GGA-PBE.

Cell lengths 12.7090, 12.7090, 12.7090 Å; angles 15.41, 15.41, 15.41 degrees
Positions (direct):
K  0.0000  0.0000  0.0000
K  0.2233  0.2233  0.2233
Sc  0.4611  0.4611  0.4611
Mo  0.7435  0.7435  0.7435

Properties
The value obtained for the spin magnetization is 0.74 μB/f.u. The energy above the most stable polymorph in this dataset is 34 kJ/mol of formula units.

---

KSc2Mo: optimized geometry, GGA-PBE.

Cell lengths 5.6938, 5.6938, 5.6938 Å; angles 134.09, 134.09, 66.95 degrees
Positions (direct):
K  0.0000  0.0000  0.0000
Sc  0.5000  0.5000  0.0000
Sc  0.7500  0.2500  0.5000
Mo  0.2500  0.7500  0.5000

Properties
The value obtained for the spin magnetization is 0.00 μB/f.u. The energy above the most stable polymorph in this dataset is 284 kJ/mol of formula units.

---

KSc2Mo: optimized geometry, GGA-PBE.

Cell lengths 11.1372, 11.1372, 11.1372 Å; angles 17.49, 17.49, 17.49 degrees
Positions (direct):
K  0.0000  0.0000  0.0000
Sc  0.2252  0.2252  0.2252
Sc  0.7748  0.7748  0.7748
Mo  0.5000  0.5000  0.5000

Properties
The value obtained for the spin magnetization is 0.00 μB/f.u. The energy above the most stable polymorph in this dataset is 55 kJ/mol of formula units.

---

KSc2Mo: optimized geometry, GGA-PBE.

Cell lengths 5.3765, 5.3765, 3.1896 Å; angles 90.00, 90.00, 90.00 degrees
Positions (direct):
K  0.0000  0.0000  0.0000
Sc  0.0000  0.5000  0.5000
Sc  0.5000  0.0000  0.5000
Mo  0.5000  0.5000  0.0000

Properties
The value obtained for the spin magnetization is 0.00 μB/f.u. The energy above the most stable polymorph in this dataset is 248 kJ/mol of formula units.

---

K2ScMo: optimized geometry, GGA-PBE.

Cell lengths 7.2784, 7.2784, 3.0383 Å; angles 101.58, 101.58, 130.22 degrees
Positions (direct):
K  0.0000  0.5000  0.0000
K  0.5000  0.0000  0.0000
Sc  0.0000  0.0000  0.5000
Mo  0.5000  0.5000  0.5000

Properties
The value obtained for the spin magnetization is 0.38 μB/f.u. The energy above the most stable polymorph in this dataset is 158 kJ/mol of formula units.

---

K2ScMo: optimized geometry, GGA-PBE.

Cell lengths 4.9753, 4.9753, 10.2802 Å; angles 92.15, 92.15, 35.67 degrees
Positions (direct):
K  0.0000  0.0000  0.0000
K  0.2358  0.2358  0.6042
Sc  0.7609  0.7609  0.2807
Mo  0.4947  0.4947  0.3252

Properties
The value obtained for the spin magnetization is 0.95 μB/f.u. The energy above the most stable polymorph in this dataset is 44 kJ/mol of formula units.

---

KSc2Mo: optimized geometry, GGA-PBE.

Cell lengths 3.6120, 3.6120, 8.7775 Å; angles 90.00, 90.00, 90.00 degrees
Positions (direct):
K  0.0000  0.0000  0.0000
Sc  0.0000  0.0000  0.4148
Sc  0.5000  0.5000  0.6213
Mo  0.5000  0.5000  0.3101

Properties
The value obtained for the spin magnetization is 0.00 μB/f.u. The energy above the most stable polymorph in this dataset is 117 kJ/mol of formula units.

---

KSc2Mo: optimized geometry, GGA-PBE.

Cell lengths 5.0680, 5.0680, 5.0680 Å; angles 60.00, 60.00, 60.00 degrees
Positions (direct):
K  0.0000  0.0000  0.0000
Sc  0.2500  0.2500  0.2500
Sc  0.7500  0.7500  0.7500
Mo  0.5000  0.5000  0.5000

Properties
The value obtained for the spin magnetization is 0.87 μB/f.u. The energy above the most stable polymorph in this dataset is 224 kJ/mol of formula units.

---

KSc2Mo: optimized geometry, GGA-PBE.

Cell lengths 5.1509, 5.1509, 7.9109 Å; angles 91.81, 91.81, 33.93 degrees
Positions (direct):
K  0.0000  0.0000  0.0000
Sc  0.5061  0.5061  0.5647
Sc  0.7600  0.7600  0.3669
Mo  0.2415  0.2415  0.6591

Properties
The value obtained for the spin magnetization is 0.00 μB/f.u. The energy above the most stable polymorph in this dataset is 124 kJ/mol of formula units.

---

KSc2Mo: optimized geometry, GGA-PBE.

Cell lengths 5.1598, 5.1598, 5.1598 Å; angles 60.00, 60.00, 60.00 degrees
Positions (direct):
K  0.0000  0.0000  0.0000
Sc  0.5000  0.5000  0.5000
Sc  0.7500  0.7500  0.7500
Mo  0.2500  0.2500  0.2500

Properties
The value obtained for the spin magnetization is 0.99 μB/f.u. The energy above the most stable polymorph in this dataset is 320 kJ/mol of formula units.

---

KScMo4: optimized geometry, GGA-PBE.

Cell lengths 5.4918, 5.4918, 5.4918 Å; angles 60.00, 60.00, 60.00 degrees
Positions (direct):
K  0.0000  0.0000  0.0000
Sc  0.2500  0.2500  0.2500
Mo  0.1237  0.6254  0.6254
Mo  0.6254  0.1237  0.6254
Mo  0.6254  0.6254  0.1237
Mo  0.6254  0.6254  0.6254

Properties
For the uncorrected energy, the calculation gives -45.79 eV/cell. The value obtained for the spin magnetization is 0.00 μB/f.u.

---

K2ScMo: optimized geometry, GGA-PBE.

Cell lengths 13.1453, 13.1453, 13.1453 Å; angles 13.51, 13.51, 13.51 degrees
Positions (direct):
K  0.2439  0.2439  0.2439
K  0.7561  0.7561  0.7561
Sc  0.0000  0.0000  0.0000
Mo  0.5000  0.5000  0.5000

Properties
The value obtained for the spin magnetization is 0.30 μB/f.u. The energy above the most stable polymorph in this dataset is 184 kJ/mol of formula units.

---

KSc2Mo: optimized geometry, GGA-PBE.

Cell lengths 2.9704, 2.9704, 11.2685 Å; angles 90.00, 90.00, 90.00 degrees
Positions (direct):
K  0.0000  0.0000  0.0000
Sc  0.0000  0.0000  0.4531
Sc  0.5000  0.5000  0.6883
Mo  0.5000  0.5000  0.2691

Properties
The value obtained for the spin magnetization is 0.00 μB/f.u. The energy above the most stable polymorph in this dataset is 145 kJ/mol of formula units.

---

K2ScMo: optimized geometry, GGA-PBE.

Cell lengths 3.0107, 5.8380, 6.4776 Å; angles 90.00, 90.00, 90.00 degrees
Positions (direct):
K  0.0000  0.2442  0.0000
K  0.0000  0.7558  0.0000
Sc  0.5000  0.5000  0.5000
Mo  0.5000  0.0000  0.5000

Properties
The value obtained for the spin magnetization is 0.49 μB/f.u. The energy above the most stable polymorph in this dataset is 201 kJ/mol of formula units.

---

KSc2Mo: optimized geometry, GGA-PBE.

Cell lengths 11.3173, 11.3173, 11.3173 Å; angles 17.08, 17.08, 17.08 degrees
Positions (direct):
K  0.0000  0.0000  0.0000
Sc  0.1087  0.1087  0.1087
Sc  0.8913  0.8913  0.8913
Mo  0.5000  0.5000  0.5000

Properties
The value obtained for the spin magnetization is 0.00 μB/f.u. The energy above the most stable polymorph in this dataset is 62 kJ/mol of formula units.

---

KSc2Mo: optimized geometry, GGA-PBE.

Cell lengths 3.0301, 3.0301, 11.3157 Å; angles 90.00, 90.00, 108.16 degrees
Positions (direct):
K  0.0000  0.0000  0.0000
Sc  0.0000  0.0000  0.5508
Sc  0.5000  0.5000  0.3110
Mo  0.5000  0.5000  0.7328

Properties
The value obtained for the spin magnetization is 0.00 μB/f.u. The energy above the most stable polymorph in this dataset is 131 kJ/mol of formula units.

---

KSc4Mo: optimized geometry, GGA-PBE.

Cell lengths 6.0391, 6.0391, 6.0391 Å; angles 60.00, 60.00, 60.00 degrees
Positions (direct):
K  0.0000  0.0000  0.0000
Sc  0.3798  0.3798  0.3798
Sc  0.3798  0.3798  0.8607
Sc  0.3798  0.8607  0.3798
Sc  0.8607  0.3798  0.3798
Mo  0.7500  0.7500  0.7500

Properties
For the uncorrected energy, the calculation gives -31.57 eV/cell. The value obtained for the spin magnetization is 1.93 μB/f.u.

---

K2ScMo: optimized geometry, GGA-PBE.

Cell lengths 3.1602, 5.2385, 6.5972 Å; angles 90.00, 90.00, 90.00 degrees
Positions (direct):
K  0.0000  0.0000  0.0000
K  0.5000  0.5000  0.0000
Sc  0.0000  0.5000  0.5000
Mo  0.5000  0.0000  0.5000

Properties
The value obtained for the spin magnetization is 0.58 μB/f.u. The energy above the most stable polymorph in this dataset is 158 kJ/mol of formula units.

---

KSc2Mo: optimized geometry, GGA-PBE.

Cell lengths 4.3351, 4.3351, 9.1171 Å; angles 93.93, 93.93, 43.28 degrees
Positions (direct):
K  0.0000  0.0000  0.0000
Sc  0.2282  0.2282  0.6531
Sc  0.7718  0.7718  0.3469
Mo  0.5000  0.5000  0.5000

Properties
The value obtained for the spin magnetization is 0.00 μB/f.u. The energy above the most stable polymorph in this dataset is 92 kJ/mol of formula units.

---

K2ScMo: optimized geometry, GGA-PBE.

Cell lengths 7.1080, 7.1080, 7.1080 Å; angles 144.91, 144.91, 50.47 degrees
Positions (direct):
K  0.2500  0.7500  0.5000
K  0.7500  0.2500  0.5000
Sc  0.0000  0.0000  0.0000
Mo  0.5000  0.5000  0.0000

Properties
The value obtained for the spin magnetization is 2.05 μB/f.u. The energy above the most stable polymorph in this dataset is 192 kJ/mol of formula units.

---

KScSn2Mo: optimized geometry, GGA-PBE.

Cell lengths 5.5604, 5.5604, 4.8206 Å; angles 90.00, 90.00, 90.00 degrees
Positions (direct):
K  0.0000  0.0000  0.0000
Sc  0.5000  0.5000  0.5000
Sn  0.0000  0.5000  0.0000
Sn  0.5000  0.0000  0.0000
Mo  0.0000  0.0000  0.5000

Properties
For the uncorrected energy, the calculation gives -17.31 eV/cell. The value obtained for the spin magnetization is 2.66 μB/f.u.

---

K2ScVMo: optimized geometry, GGA-PBE.

Cell lengths 6.2974, 6.2974, 4.6871 Å; angles 90.00, 90.00, 90.00 degrees
Positions (direct):
K  0.0000  0.5000  0.0000
K  0.5000  0.0000  0.0000
Sc  0.0000  0.0000  0.0000
V  0.5000  0.5000  0.5000
Mo  0.0000  0.0000  0.5000

Properties
For the uncorrected energy, the calculation gives -17.54 eV/cell. The value obtained for the spin magnetization is 0.86 μB/f.u.

---

KScZnMo2: optimized geometry, GGA-PBE.

Cell lengths 4.9115, 4.9115, 5.4420 Å; angles 90.00, 90.00, 90.00 degrees
Positions (direct):
K  0.0000  0.0000  0.0000
Sc  0.5000  0.5000  0.5000
Zn  0.5000  0.5000  0.0000
Mo  0.0000  0.5000  0.5000
Mo  0.5000  0.0000  0.5000

Properties
For the uncorrected energy, the calculation gives -22.31 eV/cell. The value obtained for the spin magnetization is 4.21 μB/f.u.

---

KZrSc2Mo: optimized geometry, GGA-PBE.

Cell lengths 5.3522, 5.3522, 5.0713 Å; angles 90.00, 90.00, 90.00 degrees
Positions (direct):
K  0.0000  0.0000  0.0000
Zr  0.5000  0.5000  0.0000
Sc  0.0000  0.5000  0.5000
Sc  0.5000  0.0000  0.5000
Mo  0.5000  0.5000  0.5000

Properties
For the uncorrected energy, the calculation gives -30.16 eV/cell. The value obtained for the spin magnetization is 0.00 μB/f.u.

---

KMoSe2: optimized geometry, GGA-PBE.

Cell lengths 8.1810, 8.1810, 8.1810 Å; angles 156.42, 155.03, 34.62 degrees
Positions (direct):
K  0.0000  0.0000  0.0000
Mo  0.2479  0.7479  0.5000
Se  0.3671  0.3671  0.0000
Se  0.6745  0.1745  0.5000

Properties
The value obtained for the spin magnetization is 0.67 μB/f.u. Its energy relative to the elements, uncorrected is -0.421 eV/atom.

---

KMo2Se: optimized geometry, GGA-PBE.

Cell lengths 9.5349, 9.5349, 9.5349 Å; angles 20.02, 20.02, 20.02 degrees
Positions (direct):
K  0.0000  0.0000  0.0000
Mo  0.2211  0.2211  0.2211
Mo  0.4950  0.4950  0.4950
Se  0.7610  0.7610  0.7610

Properties
The value obtained for the spin magnetization is 0.00 μB/f.u. Its energy relative to the elements, uncorrected is 0.318 eV/atom. The energy above the most stable polymorph in this dataset is 10 kJ/mol of formula units.

---

KMo2Se: optimized geometry, GGA-PBE.

Cell lengths 6.2857, 6.2857, 6.2857 Å; angles 151.35, 120.46, 67.39 degrees
Positions (direct):
K  0.0000  0.0000  0.0000
Mo  0.3322  0.8322  0.5000
Mo  0.5030  0.5030  0.0000
Se  0.7131  0.2131  0.5000

Properties
The value obtained for the spin magnetization is 0.07 μB/f.u. Its energy relative to the elements, uncorrected is 0.783 eV/atom. The energy above the most stable polymorph in this dataset is 189 kJ/mol of formula units.

---

no.,density of states at the Fermi level (states/eV/f.u.)
1,4.7
2,5.1
3,4.5
4,4.1
5,4.5
6,5.3
7,5.4
8,4.9
9,3.3
10,4.8
11,4.5
12,4.0
13,5.6
14,8.9
15,4.2
16,4.8
17,4.7
18,5.4
19,4.1
20,7.8
21,4.8
22,4.2
23,5.5
24,6.3
25,13.2
26,6.2
27,4.7
28,2.5
29,2.5
30,3.0